Record 1
A plane-wave DFT calculation with PBE was carried out for a relaxed Sr3AgPb crystal.

Summary:
- energy above the lowest structure with this stoichiometry (meV per atom) = 156.3
- volume (Å³/cell) = 214.8
- total magnetization (Bohr magnetons per cell) = 0.0
- DFT formation energy (eV/f.u.) = -0.57
- calculated total energy (eV per atom) = -2.43

```
Sr3AgPb
1.0
5.989 0.000 0.000
0.000 5.989 0.000
0.000 0.000 5.989
Sr Ag Pb
3 1 1
Direct
0.000 0.000 0.500
0.000 0.500 0.000
0.500 0.000 0.000
0.000 0.000 0.000
0.500 0.500 0.500
```

Record 2
A plane-wave DFT calculation with PBE was carried out for a relaxed MnAl3Te crystal.

Summary:
- energy relative to the elements, uncorrected (eV per atom) = 0.35
- energy above the lowest structure with this stoichiometry (meV per atom) = 0.0
- volume (Å³/cell) = 108.7
- total magnetization (Bohr magnetons per cell) = 2.8
- calculated total energy (eV per atom) = -4.36

```
MnAl3Te
1.0
4.772 0.000 0.000
0.000 4.772 0.000
0.000 0.000 4.772
Mn Al Te
1 3 1
Direct
0.000 0.000 0.000
0.000 0.000 0.500
0.000 0.500 0.000
0.500 0.000 0.000
0.500 0.500 0.500
```

Record 3
A plane-wave DFT calculation with PBE was carried out for a relaxed Sc4ZnGa2Pd crystal.

Summary:
- volume (Å³/cell) = 149.7
- total magnetization (Bohr magnetons per cell) = 0.0
- DFT formation energy (eV/f.u.) = -5.12
- calculated total energy (eV per atom) = -5.37

```
Sc4ZnGa2Pd
1.0
2.367 1.367 7.715
-2.367 1.367 7.715
0.000 -2.733 7.715
Sc Zn Ga Pd
4 1 2 1
Direct
0.124 0.124 0.124
0.374 0.374 0.374
0.626 0.626 0.626
0.876 0.876 0.876
0.500 0.500 0.500
0.249 0.249 0.249
0.751 0.751 0.751
0.000 0.000 0.000
```